# NbCo2PbO6 (PBE with a Hubbard U, optimized geometry)
data_NbCo2PbO6
_space_group_name_H-M_alt 'P 4/m m m'
_space_group_IT_number 123
_space_group_name_Hall '-P 4 2'
_cell_length_a 3.6442
_cell_length_b 3.6442
_cell_length_c 7.7058
_cell_angle_alpha 90.00
_cell_angle_beta 90.00
_cell_angle_gamma 90.00
loop_
_atom_site_label
_atom_site_type_symbol
_atom_site_fract_x
_atom_site_fract_y
_atom_site_fract_z
Nb1 Nb 0.0000 0.0000 0.0000
Co1 Co 0.5000 0.5000 0.2410
Pb1 Pb 0.0000 0.0000 0.5000
O1 O 0.0000 0.5000 0.1935
O2 O 0.5000 0.5000 0.0000
O3 O 0.5000 0.5000 0.5000
# DFT total energy: -6.416 eV per atom
# calculated density: 8.34 g/cm³